As2RuCl | PBE | optimized geometry

The total magnetization is 0.8 μB/cell. For the uncorrected formation energy, the calculation gives -75 meV/atom. The value obtained for the volume is 96.19 Å³/f.u. The density comes out at 4.9 g/cm3.

Cell lengths 4.6121, 4.6121, 7.1219 Å; angles 105.42, 105.42, 41.48 degrees
Last column: nearest neighbours and their distance in Å.
Atoms (fractional coordinates):
As (0.0000, 0.0000, 0.0000)  1 As 2.33, 3 Ru 2.51-2.52
As (0.1487, 0.1487, 0.7727)  1 As 2.33, 2 Ru 2.61
Ru (0.7313, 0.7313, 0.0700)  2 Cl 2.50, 5 As 2.51-2.61
Cl (0.3348, 0.3348, 0.3426)  2 Ru 2.50